# 1
4
Lattice="3.7146 0.0000 0.0000 0.0000 4.5602 -0.0140 0.0000 1.3654 4.5872" Properties=species:S:1:pos:R:3 comment="TeP2Pt PBE relaxed" crystal_system=monoclinic dft_energy_ev_per_atom=-5.13 raw_formation_energy_ev_per_atom=-0.1270 pbc="T T T"
P 0.0000 4.6033 0.4069
P 0.0000 2.9197 1.8656
Pt 1.8573 1.4814 1.1433
Te 1.8573 4.4442 3.4298

***

# 2
15
Lattice="8.8201 0.0000 0.0000 -4.4100 7.6412 -0.0275 0.0000 -5.0702 7.2860" Properties=species:S:1:pos:R:3 comment="Sr3Ac3HoSe8 PBE relaxed" crystal_system=trigonal dft_energy_ev_per_atom=-5.28 raw_formation_energy_ev_per_atom=-1.9606 pbc="T T T"
Sr 0.0000 0.0000 0.0000
Sr -2.2050 3.8206 -0.0138
Sr 2.2050 3.8206 -0.0138
Ac 4.4100 -2.5351 3.6430
Ac 2.2050 1.2855 3.6293
Ac -2.2050 1.2855 3.6293
Ho 0.0000 -2.5351 3.6430
Se 0.0000 2.5527 1.7719
Se 4.4100 0.0183 5.4866
Se 4.4100 2.7223 1.9297
Se 0.0000 -0.1513 5.3288
Se 6.7633 -1.3526 1.9454
Se -2.3533 3.9236 5.3131
Se 2.0568 -1.3526 1.9454
Se 2.3533 3.9236 5.3131

***

# 3
4
Lattice="-0.0431 5.3464 -4.1196 -5.2282 4.2673 -0.1096 4.9240 -2.9036 3.5889" Properties=species:S:1:pos:R:3 comment="Ca2YMn PBE relaxed" e_above_lowest_polymorph_ev_per_fu=0.548 crystal_system=orthorhombic e_form_ev_per_atom=0.313 dft_energy_ev_per_atom=-4.60 pbc="T T T"
Y 1.1226 3.6248 -1.3227
Ca -0.2146 0.3915 -0.1722
Ca -2.4210 4.4154 -1.9424
Mn -1.4699 3.0853 0.6823

***

# 4
10
Lattice="1.7127 -5.6060 0.2279 3.4528 1.2562 4.9519 -6.2906 1.3398 4.0463" Properties=species:S:1:pos:R:3 comment="AcMg3Pd PBE relaxed" e_above_lowest_polymorph_ev_per_fu=0.093 crystal_system=monoclinic e_form_ev_per_atom=-0.373 dft_energy_ev_per_atom=-3.19 pbc="T T T"
Ac -1.2145 -1.6426 8.5394
Ac -2.0136 -0.3123 4.9200
Mg 1.9813 -3.9785 3.0647
Mg 1.0812 0.6839 6.3484
Mg -1.0774 -3.2871 3.0449
Mg 0.7006 -2.6402 5.5950
Mg 2.3619 -0.6544 3.8181
Mg 0.6871 -1.2638 1.4163
Pd -2.0408 -3.3285 5.7041
Pd -1.1872 1.3737 7.7554

***

# 5
5
Lattice="5.3351 0.0000 0.0000 0.0000 4.7371 0.0000 0.0000 0.0000 5.3351" Properties=species:S:1:pos:R:3 comment="SrGeRhBr2 PBE relaxed" crystal_system=tetragonal dft_energy_ev_per_atom=-3.95 raw_formation_energy_ev_per_atom=-0.5494 pbc="T T T"
Sr 2.6675 2.3686 2.6675
Ge 0.0000 2.3686 0.0000
Rh 0.0000 0.0000 0.0000
Br 0.0000 0.0000 2.6675
Br 2.6675 0.0000 0.0000

***

# 6
19
Lattice="8.5032 0.0000 0.0000 -4.2516 7.8424 -3.2252 0.0000 -0.7716 11.2567" Properties=species:S:1:pos:R:3 comment="In2Pb5Br12 PBE relaxed" crystal_system=monoclinic dft_energy_ev_per_atom=-3.14 raw_formation_energy_ev_per_atom=-0.8164 pbc="T T T"
In 6.7347 0.0000 0.0000
In 1.7684 0.0000 0.0000
Pb 0.0000 4.3853 5.0560
Pb 0.0000 4.2274 -1.5808
Pb 0.0000 -0.3858 5.6284
Pb 4.2516 2.8434 9.6123
Pb 4.2516 2.6854 2.9755
Br 4.2516 6.3095 -0.5069
Br -2.0442 3.9384 7.6143
Br 2.0442 3.9384 7.6143
Br -2.3336 5.3303 3.4614
Br 2.3336 5.3303 3.4614
Br 4.2516 -0.5499 9.2809
Br 0.0000 7.6207 -1.2494
Br 6.5852 1.7405 4.5701
Br 1.9179 1.7405 4.5701
Br 6.2958 3.1324 0.4172
Br 2.2073 3.1324 0.4172
Br 0.0000 0.7612 8.5384

***

# 7
11
Lattice="-5.9481 1.3892 3.9454 -6.1162 -3.7489 -1.1999 -0.7527 -4.0100 6.9781" Properties=species:S:1:pos:R:3 comment="Nb3TeBr7 PBE relaxed" crystal_system=monoclinic dft_energy_ev_per_atom=-4.98 raw_formation_energy_ev_per_atom=-0.8875 pbc="T T T"
Nb -2.6051 -3.5662 4.0293
Nb -8.6244 -4.2784 5.8642
Nb -5.1110 -5.0990 3.5338
Te -8.8081 -4.8356 8.5264
Br -7.8944 -4.5955 3.1184
Br -6.0333 -5.0333 6.0783
Br -10.9459 -3.6913 4.9005
Br -2.9860 -3.1663 6.6783
Br -5.9479 -2.4745 8.6430
Br -4.9104 -2.5246 3.5278
Br -7.8930 -1.8280 5.5061

***

# 8
10
Lattice="4.6747 0.0000 0.0000 0.0000 4.6747 0.0000 0.0000 0.0000 10.5914" Properties=species:S:1:pos:R:3 comment="Ba2Ga4PdAu3 PBE relaxed" crystal_system=tetragonal e_form_ev_per_atom=-0.602 dft_energy_ev_per_atom=-3.70 pbc="T T T"
Ba 2.3374 0.0000 2.6567
Ba 0.0000 2.3374 7.9347
Ga 2.3374 2.3374 0.0000
Ga 0.0000 0.0000 0.0000
Ga 2.3374 0.0000 6.4981
Ga 0.0000 2.3374 4.0933
Pd 2.3374 2.3374 5.2957
Au 0.0000 0.0000 5.2957
Au 2.3374 0.0000 9.2093
Au 0.0000 2.3374 1.3821

***

# 9
6
Lattice="-2.3146 2.8356 0.7354 -1.3021 -0.1562 -3.4956 -9.9379 -9.1785 4.1121" Properties=species:S:1:pos:R:3 comment="La5Pt PBE relaxed" e_above_lowest_polymorph_ev_per_fu=0.021 crystal_system=tetragonal e_form_ev_per_atom=-0.351 dft_energy_ev_per_atom=-5.46 pbc="T T T"
La -8.7426 -8.0746 3.6175
La -1.1953 -1.1039 0.4946
La -8.5900 -4.9238 1.4261
La -4.9646 -1.5754 -0.0741
La -4.9690 -4.5892 2.0561
Pt -1.8084 1.3397 -1.3801

***

# 10
8
Lattice="5.2011 -7.4277 4.5953 -8.5078 3.7925 -4.0712 4.2457 -1.8088 -9.0577" Properties=species:S:1:pos:R:3 comment="Cs2MoSe PBE relaxed" e_above_lowest_polymorph_ev_per_fu=0.000 crystal_system=tetragonal dft_energy_ev_per_atom=-3.71 raw_formation_energy_ev_per_atom=0.2937 pbc="T T T"
Cs 3.8291 -5.1481 -5.7240
Cs -3.7166 -1.2046 -2.6785
Cs 0.9077 -0.9856 -6.9332
Cs 0.8580 -3.5496 -1.7313
Mo 0.0000 0.0000 0.0000
Mo -2.9577 0.0831 -6.4334
Se -1.6533 -1.8176 0.2621
Se 3.8968 -5.5270 -2.1001

***

# 11
12
Lattice="-2.5456 1.0213 -4.5314 -0.9852 -8.6691 1.6787 -7.3604 3.5432 4.9367" Properties=species:S:1:pos:R:3 comment="RbPmCuTe3 PBE relaxed" crystal_system=triclinic dft_energy_ev_per_atom=-4.05 raw_formation_energy_ev_per_atom=-0.8394 pbc="T T T"
Rb -8.6090 -2.3536 4.3000
Rb -2.2821 -1.7511 -2.2161
Pm -5.9211 0.0994 0.2484
Pm -4.9701 -4.2040 1.8355
Cu -2.3163 0.8402 1.4933
Cu -8.5749 -4.9448 0.5906
Te -4.7890 -4.4427 -1.4148
Te -7.6721 -2.5008 0.6427
Te -4.3431 -7.1493 0.8147
Te -3.2191 -1.6038 1.4412
Te -6.5481 3.0447 1.2692
Te -6.1022 0.3381 3.4987

***

# 12
12
Lattice="-4.2636 2.5525 5.7118 2.4890 -2.9279 6.5061 5.2944 3.6340 3.9979" Properties=species:S:1:pos:R:3 comment="CaTm5Sb6 PBE relaxed" crystal_system=monoclinic dft_energy_ev_per_atom=-5.11 raw_formation_energy_ev_per_atom=-1.0238 pbc="T T T"
Sb -1.1680 2.8892 6.1727
Sb 2.1464 0.2008 6.5516
Sb -0.4369 -0.1070 3.1079
Sb -1.3377 -0.2684 9.1100
Sb 1.3734 3.0578 9.6643
Sb 4.6879 0.3694 10.0432
Ca 0.0000 0.0000 0.0000
Tm 1.8361 3.2405 6.6098
Tm 2.6041 0.2475 3.5031
Tm -0.8873 -0.1877 6.1089
Tm 5.1793 0.4586 7.0009
Tm 1.6837 0.0181 9.6060

***

# 13
13
Lattice="-5.6800 2.7482 0.1890 -3.7531 -0.0060 -7.2778 -5.9899 -5.2587 1.8759" Properties=species:S:1:pos:R:3 comment="KMg5Tl7 PBE relaxed" crystal_system=orthorhombic e_form_ev_per_atom=-0.039 dft_energy_ev_per_atom=-2.01 pbc="T T T"
K -5.7047 2.6996 0.1551
Mg -5.8043 -1.2281 1.0124
Mg -2.9938 -2.5879 0.9189
Mg -4.7010 1.3627 -3.5023
Mg -1.8905 0.0028 -3.5959
Mg -11.6043 -1.9605 -3.9607
Tl -7.1372 -0.1257 -1.8162
Tl -8.3980 -2.6122 -3.5511
Tl -10.9231 -0.7492 -1.1020
Tl -10.2204 0.9009 -3.9776
Tl -3.7524 -0.4253 -1.1610
Tl -7.0025 0.3921 -5.2954
Tl -8.3428 -2.7553 0.1894

***

# 14
12
Lattice="-9.8886 -0.2341 -5.6178 2.0872 -7.6442 8.1614 -1.5122 2.3255 2.5648" Properties=species:S:1:pos:R:3 comment="InGe PBE relaxed" crystal_system=hexagonal e_form_ev_per_atom=0.254 dft_energy_ev_per_atom=-3.42 pbc="T T T"
In -7.4808 -1.5041 -1.6556
In -4.6838 -4.2708 5.2844
In -6.7135 -3.5822 0.6810
In -1.8327 -4.0488 6.7641
In -4.6297 -1.2820 -0.1760
In -2.6000 -1.9706 4.4274
Ge -3.9392 -7.0592 5.4692
Ge -5.7374 -2.7306 3.2667
Ge 0.6671 -3.8969 5.3177
Ge -5.3743 1.5064 -0.3607
Ge -3.5761 -2.8223 1.8417
Ge -9.9806 -1.6560 -0.2093

***

# 15
16
Lattice="-3.1807 -1.0481 -3.0008 -2.9966 -2.1289 3.9197 -4.6006 9.4057 1.5913" Properties=species:S:1:pos:R:3 comment="Ti5Mo2Rh PBE relaxed" crystal_system=orthorhombic e_form_ev_per_atom=-0.272 dft_energy_ev_per_atom=-8.83 pbc="T T T"
Ti -3.1022 -0.1863 -0.0159
Ti -7.6757 6.4151 2.5261
Ti -5.8758 1.3567 2.3851
Ti -4.9020 4.8720 0.1251
Ti -6.0085 5.1086 4.5843
Ti -1.5887 2.1682 0.9266
Ti -4.6034 6.3635 2.6567
Ti -2.9938 0.9133 2.8543
Ti -3.7986 3.6384 2.7555
Ti 0.0000 0.0000 0.0000
Mo -4.3002 2.1798 0.4275
Mo -6.4776 4.0490 2.0826
Mo -6.0396 7.2811 0.4895
Mo -4.7382 -1.0523 2.0207
Rh -2.3003 4.7028 0.7956
Rh -1.4983 -1.0644 1.9598

***

# 16
4
Lattice="-1.6123 -1.7897 -4.2454 -1.1223 -4.7349 -0.3839 -4.6615 -1.3741 -0.4565" Properties=species:S:1:pos:R:3 comment="CaAgHgPt PBE relaxed" crystal_system=cubic e_form_ev_per_atom=-0.379 dft_energy_ev_per_atom=-3.18 pbc="T T T"
Ag 0.0000 0.0000 0.0000
Ca -5.5471 -5.9240 -3.8144
Hg -1.8490 -1.9747 -1.2715
Pt -3.6980 -3.9493 -2.5429

***

# 17
6
Lattice="-2.5775 0.0234 5.4655 2.9203 -2.3738 4.7279 2.1557 3.6080 4.3417" Properties=species:S:1:pos:R:3 comment="YThMg4 PBE relaxed" e_above_lowest_polymorph_ev_per_fu=0.000 crystal_system=cubic e_form_ev_per_atom=-0.026 dft_energy_ev_per_atom=-3.40 pbc="T T T"
Y 0.6246 0.3144 3.6338
Mg 0.4855 -1.0142 6.9144
Mg 0.1041 1.9698 6.7218
Mg 1.5609 0.7856 9.0802
Mg 2.8466 0.7740 6.3538
Th 0.0000 0.0000 0.0000

***

# 18
3
Lattice="-4.3631 -0.1393 0.3145 2.0926 -2.7802 -2.6546 0.2180 -1.9143 2.1767" Properties=species:S:1:pos:R:3 comment="ZnPtAu PBE relaxed" e_above_lowest_polymorph_ev_per_fu=0.252 crystal_system=trigonal e_form_ev_per_atom=-0.222 dft_energy_ev_per_atom=-3.75 pbc="T T T"
Au 0.2068 -1.8159 2.0648
Pt -2.1249 -1.7777 0.1868
Zn 0.0835 -3.1546 -0.2382

***

# 19
16
Lattice="11.3672 0.0000 0.0000 -5.6836 9.8443 0.0000 0.0000 0.0000 4.7895" Properties=species:S:1:pos:R:3 comment="K3Mn5 PBE relaxed" crystal_system=hexagonal e_form_ev_per_atom=1.066 dft_energy_ev_per_atom=-5.08 pbc="T T T"
K 7.2207 0.0000 1.1974
K 4.1465 0.0000 3.5921
K -3.6104 6.2533 1.1974
K 2.0733 3.5910 1.1974
K 3.6104 6.2533 3.5921
K -2.0733 3.5910 3.5921
Mn 0.0000 6.5629 0.0000
Mn 5.6836 3.2814 2.3948
Mn 5.6836 3.2814 0.0000
Mn 0.0000 6.5629 2.3948
Mn 1.5224 0.0000 1.1974
Mn 9.8448 0.0000 3.5921
Mn -0.7612 1.3184 1.1974
Mn 4.9224 8.5259 1.1974
Mn 0.7612 1.3184 3.5921
Mn -4.9224 8.5259 3.5921

***

# 20
4
Lattice="-0.3260 2.7976 0.4345 -1.6506 0.4576 -4.1849 -5.2969 -0.9259 1.9880" Properties=species:S:1:pos:R:3 comment="In2MoW PBE relaxed" e_above_lowest_polymorph_ev_per_fu=1.399 crystal_system=orthorhombic e_form_ev_per_atom=0.647 dft_energy_ev_per_atom=-6.67 pbc="T T T"
In -0.0021 -0.0004 0.0008
In -2.6463 -0.4626 0.9932
Mo -2.3125 1.3961 -1.3782
W -4.9610 0.9332 -0.3842